First-principles (PBE-GGA) data for Rb2SiHI6 after structural relaxation, as listed in the Alexandria database.

## Properties
Calculated total energy in eV per atom: -2.48
SG: No. 139
Magnetization in μB per atom: 0.000

a b c (Å): 8.3206 8.3206 8.3206
angles (deg): 125.68 125.68 80.41
Closest atoms and distances in Å follow each position.
Atoms (fractional coordinates):
Rb  0.2500  0.7500  0.5000  12 I 3.82-4.16
Rb  0.7500  0.2500  0.5000  12 I 3.82-4.16
Si  0.0000  0.0000  0.0000  6 I 2.72-2.80
H  0.5000  0.5000  0.0000  4 I 2.65
I  0.2201  0.2201  0.0000  1 Si 2.80
I  0.2536  0.2536  0.5073  1 H 2.65, 1 Si 2.72
I  0.2536  0.7464  0.0000  1 H 2.65, 1 Si 2.72
I  0.7464  0.2536  0.0000  1 H 2.65, 1 Si 2.72
I  0.7464  0.7464  0.4927  1 H 2.65, 1 Si 2.72
I  0.7799  0.7799  0.0000  1 Si 2.80